No. 1
VASP calculation (PBE) on crystalline ZnHg6Pb3 at its relaxed geometry.

As for the calculated volume: 27.2 Å³ per atom. As for the density of states at the Fermi level: 0.26 states/eV/atom. As for the total magnetic moment: 0.00 μB per formula unit. For the formation energy, the calculation gives 0.047 eV per atom.

The space group is P2_1/m (No. 11) and the conventional cell measures 9.384, 3.382 and 17.275 Å, with angles of 90.00, 97.06 and 90.00 degrees. Symmetry generates all atoms from Zn at (0.241, 0.250, 0.136), Hg at (0.013, 0.250, 0.894), Hg at (0.066, 0.250, 0.574), Hg at (0.243, 0.750, 0.995), Hg at (0.296, 0.250, 0.448), Hg at (0.393, 0.750, 0.258), Hg at (0.474, 0.750, 0.894), Pb at (0.090, 0.250, 0.289), Pb at (0.237, 0.250, 0.761) and Pb at (0.394, 0.750, 0.613).

***

No. 2
VASP calculation (PBE) on crystalline ZnHgPb2 at its relaxed geometry.

As for the calculated volume: 26.4 Å³ per atom. As for the density of states at the Fermi level: 0.26 states/eV/atom. As for the total magnetic moment: 0.00 μB per formula unit. For the formation energy, the calculation gives 0.125 eV per atom.

The space group is Fm-3m (No. 225) and the conventional cell measures 7.505, 7.505 and 7.505 Å, with angles of 90.00, 90.00 and 90.00 degrees. Symmetry generates all atoms from Zn at (0.000, 0.000, 0.000), Hg at (0.000, 0.000, 0.500) and Pb at (0.250, 0.250, 0.250).

***

No. 3
VASP calculation (PBE) on crystalline Zn3HgPb at its relaxed geometry.

As for the calculated volume: 25.8 Å³ per atom. As for the density of states at the Fermi level: 0.60 states/eV/atom. As for the total magnetic moment: 0.00 μB per formula unit. For the formation energy, the calculation gives 0.419 eV per atom.

The space group is Pm-3m (No. 221) and the conventional cell measures 5.053, 5.053 and 5.053 Å, with angles of 90.00, 90.00 and 90.00 degrees. Symmetry generates all atoms from Zn at (0.000, 0.000, 0.500), Hg at (0.000, 0.000, 0.000) and Pb at (0.500, 0.500, 0.500).

***

No. 4
VASP calculation (PBE) on crystalline ZnHg2Pb at its relaxed geometry.

As for the calculated volume: 25.5 Å³ per atom. As for the density of states at the Fermi level: 0.43 states/eV/atom. As for the total magnetic moment: 0.00 μB per formula unit. For the formation energy, the calculation gives 0.132 eV per atom.

The space group is Cmmm (No. 65) and the conventional cell measures 6.128, 9.225 and 3.604 Å, with angles of 90.00, 90.00 and 90.00 degrees. Symmetry generates all atoms from Zn at (0.000, 0.000, 0.000), Hg at (0.250, 0.250, 0.500) and Pb at (0.000, 0.500, 0.000).

***

No. 5
VASP calculation (PBE) on crystalline ZnHg6Pb2 at its relaxed geometry.

As for the calculated volume: 26.7 Å³ per atom. As for the density of states at the Fermi level: 0.34 states/eV/atom. As for the total magnetic moment: 0.00 μB per formula unit. For the formation energy, the calculation gives 0.069 eV per atom.

The space group is P2/m (No. 10) and the conventional cell measures 7.969, 3.685 and 8.758 Å, with angles of 90.00, 110.86 and 90.00 degrees. Symmetry generates all atoms from Zn at (0.000, 0.000, 0.000), Hg at (0.025, 0.000, 0.685), Hg at (0.301, 0.500, 0.966), Hg at (0.333, 0.000, 0.266) and Pb at (0.322, 0.500, 0.592).

***

No. 6
VASP calculation (PBE) on crystalline Zn2Hg2Pb at its relaxed geometry.

As for the calculated volume: 22.7 Å³ per atom. As for the density of states at the Fermi level: 0.34 states/eV/atom. As for the total magnetic moment: 0.00 μB per formula unit. For the formation energy, the calculation gives 0.105 eV per atom.

The space group is P4/mbm (No. 127) and the conventional cell measures 8.088, 8.088 and 3.472 Å, with angles of 90.00, 90.00 and 90.00 degrees. Symmetry generates all atoms from Zn at (0.116, 0.384, 0.000), Hg at (0.181, 0.681, 0.500) and Pb at (0.000, 0.000, 0.000).

***

No. 7
VASP calculation (PBE) on crystalline ZnHg2Pb at its relaxed geometry.

As for the calculated volume: 24.9 Å³ per atom. As for the density of states at the Fermi level: 0.44 states/eV/atom. As for the total magnetic moment: 0.00 μB per formula unit. For the formation energy, the calculation gives 0.131 eV per atom.

The space group is I4/mmm (No. 139) and the conventional cell measures 4.499, 4.499 and 9.849 Å, with angles of 90.00, 90.00 and 90.00 degrees. Symmetry generates all atoms from Zn at (0.000, 0.000, 0.000), Hg at (0.000, 0.500, 0.250) and Pb at (0.000, 0.000, 0.500).

***

No. 8
VASP calculation (PBE) on crystalline Zn12Hg5Pb3 at its relaxed geometry.

As for the calculated volume: 26.1 Å³ per atom. As for the density of states at the Fermi level: 0.34 states/eV/atom. As for the total magnetic moment: 0.00 μB per formula unit. For the formation energy, the calculation gives 0.274 eV per atom.

The space group is Ia-3d (No. 230) and the conventional cell measures 16.102, 16.102 and 16.102 Å, with angles of 90.00, 90.00 and 90.00 degrees. Symmetry generates all atoms from Zn at (0.008, 0.075, 0.652), Hg at (0.000, 0.000, 0.000), Hg at (0.000, 0.250, 0.375) and Pb at (0.000, 0.250, 0.125).